No. 1
Ag2BF4: relaxed, GGA-PBE.

abc: 4.126 4.126 12.205
angles: 90.00 90.00 90.00
Space group I-42m (No. 121)
Unique sites:
Ag (0.000, 0.500, 0.250) x4
B (0.000, 0.000, 0.000) x2
F (0.197, 0.197, 0.068) x8


No. 2
Ag2BF: relaxed, GGA-PBE.

abc: 5.937 5.937 6.863
angles: 90.00 90.00 90.00
Space group I-42d (No. 122)
Unique sites:
Ag (0.215, 0.750, 0.125) x8
B (0.000, 0.000, 0.000) x4
F (0.000, 0.000, 0.500) x4


No. 3
Ag2BF6: relaxed, GGA-PBE.

abc: 5.715 5.716 9.171
angles: 90.00 128.38 90.00
Space group P2_1/c (No. 14)
Unique sites:
Ag (0.249, 0.001, 0.250) x4
B (0.500, 0.000, 0.000) x2
F (0.205, 0.127, 0.999) x4
F (0.305, 0.000, 0.804) x4
F (0.373, 0.706, 0.000) x4


No. 4
Ag2BF: relaxed, GGA-PBE.

abc: 5.951 5.951 5.951
angles: 90.00 90.00 90.00
Space group Fm-3m (No. 225)
Unique sites:
Ag (0.250, 0.250, 0.250) x8
B (0.000, 0.000, 0.000) x4
F (0.000, 0.000, 0.500) x4


no.,size of the total moment (μB per cell),offset from the most stable computed form (meV/atom)
1,0.000,0
2,0.000,0
3,1.941,328
4,0.000,228